1.
Here is a relaxed structure of AcPm2Ga from Alexandria via LeMat-Bulk. Energies are from PBE.

E above lowest polymorph = 0.2032 eV/atom
Calculated formation energy = -0.16 eV/f.u.

abc: 5.0647 5.0647 17.8638
angles: 90.00 90.00 120.00
With the nearest neighbours (Å) after each atom.
Space group R-3m (No. 166, hexagonal axes)
Symmetry-distinct sites (fractional):
1 Ac 0.0000 0.0000 0.0000 [3 per cell]  6 Pm 3.53
2 Pm 0.0000 0.0000 0.2223 [6 per cell]  3 Ga 3.09
3 Ga 0.0000 0.0000 0.5000 [3 per cell]  6 Pm 3.09

=====

2.
Here is a relaxed structure of La2SiCl from Alexandria via LeMat-Bulk. Energies are from PBE.

E above lowest polymorph = 0.0605 eV/atom
Uncorrected formation energy = -462 kJ/mol of formula units

abc: 4.2499 4.2499 22.8318
angles: 90.00 90.00 120.00
With the nearest neighbours (Å) after each atom.
Space group R3m (No. 160, hexagonal axes)
Symmetry-distinct sites (fractional):
1 La 0.0000 0.0000 0.0000 [3 per cell]  3 Si 2.95, 3 Cl 3.22
2 La 0.0000 0.0000 0.1894 [3 per cell]  3 Si 2.96
3 Si 0.0000 0.0000 0.5951 [3 per cell]  6 La 2.95-2.96
4 Cl 0.0000 0.0000 0.4243 [3 per cell]  6 La 3.22-3.33

=====

3.
Here is a relaxed structure of TaSbCl2 from Alexandria via LeMat-Bulk. Energies are from PBE.

E above lowest polymorph = 0.3202 eV/atom
Uncorrected formation energy = -108 kJ/mol of formula units

abc: 3.0199 4.7698 16.0738
angles: 90.00 90.00 90.00
With the nearest neighbours (Å) after each atom.
Space group Imm2 (No. 44)
Symmetry-distinct sites (fractional):
1 Ta 0.0000 0.0000 0.0000 [2 per cell]  2 Cl 2.48
2 Sb 0.0000 0.5000 0.3467 [2 per cell]  2 Ta 2.89, 2 Sb 3.02
3 Cl 0.0000 0.0000 0.4979 [2 per cell]  4 Ta 2.82, 4 Cl 3.02-3.11
4 Cl 0.0000 0.5000 0.6225 [2 per cell]  2 Ta 2.48